DFT (PBE-GGA) results for a relaxed structure of Ac4HOs.

Computed properties:
For the total energy, the calculation gives -0.1937 hartree per atom. As for the space group: C2/m (12).

a b c (Å): 7.789 7.789 7.007
angles (deg): 113.34 113.34 32.34
Element x y z (fractional)
Ac 0.118 0.118 0.438
Ac 0.378 0.378 0.054
Ac 0.622 0.622 0.946
Ac 0.882 0.882 0.562
H 0.000 0.000 0.000
Os 0.500 0.500 0.500

DFT (PBE-GGA) results for a relaxed structure of PmTmW4.

Computed properties:
For the total energy, the calculation gives -0.3664 hartree per atom. As for the space group: F-43m (216). Its formation energy from the elements is 202 meV/atom.

a b c (Å): 5.557 5.557 5.557
angles (deg): 60.00 60.00 60.00
Element x y z (fractional)
Pm 0.000 0.000 0.000
Tm 0.250 0.250 0.250
W 0.125 0.625 0.625
W 0.625 0.125 0.625
W 0.625 0.625 0.125
W 0.625 0.625 0.625

DFT (PBE-GGA) results for a relaxed structure of AlCu5Au6.

Computed properties:
For the total energy, the calculation gives -0.1389 hartree per atom. The offset from the most stable computed form comes out at 0.000 eV/atom. As for the space group: P2/m (10). Its formation energy from the elements is -123 meV/atom.

a b c (Å): 4.611 5.845 7.147
angles (deg): 90.00 107.95 90.00
Element x y z (fractional)
Al 0.000 0.000 0.000
Cu 0.000 0.500 0.000
Cu 0.258 0.000 0.658
Cu 0.258 0.500 0.661
Cu 0.742 0.000 0.342
Cu 0.742 0.500 0.339
Au 0.228 0.250 0.328
Au 0.228 0.750 0.328
Au 0.500 0.250 0.000
Au 0.500 0.750 0.000
Au 0.772 0.250 0.672
Au 0.772 0.750 0.672

DFT (PBE-GGA) results for a relaxed structure of TaPdAu4.

Computed properties:
For the total energy, the calculation gives -0.1873 hartree per atom. As for the space group: C2/m (12). Its formation energy from the elements is -70 meV/atom.

a b c (Å): 5.000 5.000 5.021
angles (deg): 98.57 98.57 120.13
Element x y z (fractional)
Ta 0.000 0.000 0.000
Pd 0.500 0.500 0.500
Au 0.161 0.839 0.500
Au 0.334 0.666 0.000
Au 0.666 0.334 0.000
Au 0.839 0.161 0.500

DFT (PBE-GGA) results for a relaxed structure of Cs2KCd.

Computed properties:
For the total energy, the calculation gives -0.0347 hartree per atom. The offset from the most stable computed form comes out at 0.000 eV/atom. As for the space group: C2/m (12). Its formation energy from the elements is -13 meV/atom.

a b c (Å): 9.325 9.325 10.991
angles (deg): 94.08 94.08 36.17
Element x y z (fractional)
Cs 0.043 0.043 0.285
Cs 0.233 0.233 0.662
Cs 0.767 0.767 0.338
Cs 0.957 0.957 0.715
K 0.365 0.365 0.062
K 0.635 0.635 0.938
Cd 0.421 0.421 0.438
Cd 0.579 0.579 0.562

DFT (PBE-GGA) results for a relaxed structure of K2TiInO4.

Computed properties:
For the total energy, the calculation gives -0.2237 hartree per atom. The calculation puts the uncorrected formation energy at -2.005 eV/atom. As for the space group: I-4 (82).

a b c (Å): 6.123 6.123 6.123
angles (deg): 123.27 123.27 84.42
Element x y z (fractional)
K 0.000 0.000 0.000
K 0.750 0.250 0.500
Ti 0.250 0.750 0.500
In 0.500 0.500 0.000
O 0.215 0.083 0.571
O 0.356 0.785 0.868
O 0.512 0.644 0.429
O 0.917 0.488 0.132

- Which formula does entry 3 have?
  AlCu5Au6